## LaCe2Mg (PBE-GGA)

Data for LaCe2Mg after structural relaxation.

Properties
The calculation puts the energy relative to the lowest polymorph listed for this composition at 0.077 eV per atom. The value obtained for the formation energy is 0.18 eV/atom. As for the density of states at the Fermi level: 10.01 states/eV per cell.

Lattice parameters (Å, degrees): 3.217 3.217 12.508 82.61 82.61 60.00
Fractional positions:
Mg 0.500 0.500 0.500
Ce 0.087 0.087 0.738
Ce 0.913 0.913 0.262
La 0.000 0.000 0.000

## LaCeMg4 (PBE-GGA)

Data for LaCeMg4 after structural relaxation.

Properties
The value obtained for the formation energy is -0.05 eV/atom. As for the density of states at the Fermi level: 10.32 states/eV per cell.

Lattice parameters (Å, degrees): 6.139 6.139 6.139 60.00 60.00 60.00
Last column: magnetic moment on the atom in μB.
Fractional positions:
Mg 0.625 0.625 0.125  0.00
Mg 0.625 0.125 0.625  0.00
Mg 0.625 0.625 0.625  0.00
Mg 0.125 0.625 0.625  0.00
Ce 0.000 0.000 0.000  0.81
La 0.250 0.250 0.250  0.03

## La2CeMg (PBE-GGA)

Data for La2CeMg after structural relaxation.

Properties
The calculation puts the energy relative to the lowest polymorph listed for this composition at 0.000 eV per atom. The value obtained for the formation energy is -0.01 eV/atom. As for the density of states at the Fermi level: 4.92 states/eV per cell.

Lattice parameters (Å, degrees): 3.591 3.591 9.646 90.00 90.00 90.00
Last column: magnetic moment on the atom in μB.
Fractional positions:
Mg 0.500 0.500 0.000  0.00
Ce 0.500 0.500 0.500  0.10
La 0.000 0.000 0.750  0.00
La 0.000 0.000 0.250  0.00

## La2CeMg (PBE-GGA)

Data for La2CeMg after structural relaxation.

Properties
The calculation puts the energy relative to the lowest polymorph listed for this composition at 0.090 eV per atom. The value obtained for the formation energy is 0.08 eV/atom. As for the density of states at the Fermi level: 7.76 states/eV per cell.

Lattice parameters (Å, degrees): 3.547 3.547 11.828 81.38 81.38 60.00
Last column: magnetic moment on the atom in μB.
Fractional positions:
La 0.083 0.083 0.751  0.00
La 0.251 0.251 0.248  0.00
Ce 0.500 0.500 0.501  0.52
Mg 0.667 0.667 0.000  0.00

## LaCeMg (PBE-GGA)

Data for LaCeMg after structural relaxation.

Properties
The calculation puts the energy relative to the lowest polymorph listed for this composition at 0.020 eV per atom. The value obtained for the formation energy is 0.08 eV/atom. As for the density of states at the Fermi level: 5.75 states/eV per cell.

Lattice parameters (Å, degrees): 3.155 5.538 5.538 120.00 90.00 90.00
Last column: magnetic moment on the atom in μB.
Fractional positions:
Mg 0.667 0.667 0.333  0.00
Ce 0.167 0.333 0.667  0.43
La 0.166 0.000 0.000  -0.02

## La14CeMg (PBE-GGA)

Data for La14CeMg after structural relaxation.

Properties
The value obtained for the formation energy is 0.01 eV/atom. As for the density of states at the Fermi level: 27.09 states/eV per cell.

Lattice parameters (Å, degrees): 7.334 7.334 10.497 90.00 90.00 89.95
Last column: magnetic moment on the atom in μB.
Fractional positions:
La 0.375 0.625 0.500  0.00
La 0.876 0.124 0.500  0.00
La 0.872 0.622 0.000  0.02
La 0.877 0.627 0.500  0.00
La 0.378 0.128 0.000  0.02
La 0.373 0.123 0.500  0.00
La 0.625 0.875 0.756  0.01
La 0.625 0.875 0.244  0.01
La 0.125 0.375 0.756  0.01
La 0.125 0.375 0.244  0.01
La 0.125 0.875 0.759  0.01
La 0.125 0.875 0.241  0.01
La 0.625 0.375 0.753  0.01
La 0.625 0.375 0.247  0.01
Ce 0.875 0.125 0.000  0.80
Mg 0.375 0.625 0.000  0.00

## La2CeMgN (PBE-GGA)

Data for La2CeMgN after structural relaxation.

Properties
The formation energy from raw total energies comes out at -584 meV/atom. As for the density of states at the Fermi level: 9.14 states/eV per cell.

Lattice parameters (Å, degrees): 4.861 5.216 5.216 90.00 90.00 90.00
Last column: magnetic moment on the atom in μB.
Fractional positions:
La 0.000 0.000 0.500  0.04
La 0.000 0.500 0.000  0.04
Ce 0.500 0.000 0.000  0.56
Mg 0.500 0.500 0.500  0.00
N 0.000 0.000 0.000  -0.03

## LaCeNdMg (PBE-GGA)

Data for LaCeNdMg after structural relaxation.

Properties
The value obtained for the formation energy is 0.13 eV/atom. As for the density of states at the Fermi level: 9.93 states/eV per cell.

Lattice parameters (Å, degrees): 5.638 5.638 5.638 60.00 60.00 60.00
Last column: magnetic moment on the atom in μB.
Fractional positions:
Mg 0.000 0.000 0.000  0.00
Nd 0.250 0.250 0.250  0.07
Ce 0.500 0.500 0.500  0.82
La 0.750 0.750 0.750  0.07

## LaCe2MgP4 (PBE-GGA)

Data for LaCe2MgP4 after structural relaxation.

Properties
The value obtained for the formation energy is -1.21 eV/atom. As for the density of states at the Fermi level: 7.36 states/eV per cell.

Lattice parameters (Å, degrees): 4.135 7.079 7.085 69.88 90.00 90.00
Last column: magnetic moment on the atom in μB.
Fractional positions:
La 0.500 0.500 0.000  0.01
Ce 0.000 0.000 0.000  0.44
Ce 0.500 0.000 0.500  0.37
Mg 0.000 0.500 0.500  0.00
P 0.000 0.761 0.742  -0.02
P 0.000 0.239 0.258  -0.02
P 0.500 0.754 0.256  -0.02
P 0.500 0.246 0.744  -0.02

## LaCePrMg (PBE-GGA)

Data for LaCePrMg after structural relaxation.

Properties
The value obtained for the formation energy is 0.12 eV/atom. As for the density of states at the Fermi level: 10.02 states/eV per cell.

Lattice parameters (Å, degrees): 5.652 5.652 5.652 60.00 60.00 60.00
Last column: magnetic moment on the atom in μB.
Fractional positions:
Pr 0.000 0.000 0.000  0.07
Mg 0.750 0.750 0.750  0.00
Ce 0.250 0.250 0.250  0.82
La 0.500 0.500 0.500  0.07

## LaCePuMg (PBE-GGA)

Data for LaCePuMg after structural relaxation.

Properties
The value obtained for the formation energy is 0.12 eV/atom. As for the density of states at the Fermi level: 12.24 states/eV per cell.

Lattice parameters (Å, degrees): 5.474 5.474 5.474 60.00 60.00 60.00
Last column: magnetic moment on the atom in μB.
Fractional positions:
Mg 0.000 0.000 0.000  0.02
La 0.750 0.750 0.750  -0.20
Ce 0.250 0.250 0.250  -0.99
Pu 0.500 0.500 0.500  -5.66

## LaCeSmMg (PBE-GGA)

Data for LaCeSmMg after structural relaxation.

Properties
The value obtained for the formation energy is 0.13 eV/atom. As for the density of states at the Fermi level: 10.02 states/eV per cell.

Lattice parameters (Å, degrees): 5.616 5.616 5.616 60.00 60.00 60.00
Last column: magnetic moment on the atom in μB.
Fractional positions:
Mg 0.500 0.500 0.500  0.00
Ce 0.000 0.000 0.000  0.80
Sm 0.250 0.250 0.250  0.07
La 0.750 0.750 0.750  0.08